[1]
Density functional theory data (PBE-GGA) for NaSrTeAu after structural relaxation.

Values from the calculation:
Raw formation energy (eV/f.u.): -3.695
Space group: F-43m, No. 216
Energy (eV/atom): -3.2787
Volume (Å³ per atom): 28.91
Crystal system: cubic

```
16
Lattice="7.733 0.000 0.000 0.000 7.733 0.000 0.000 0.000 7.733" Properties=species:S:1:pos:R:3 pbc="T T T"
Na 0.000 0.000 0.000
Na 0.000 3.867 3.867
Na 3.867 0.000 3.867
Na 3.867 3.867 0.000
Sr 0.000 0.000 3.867
Sr 0.000 3.867 0.000
Sr 3.867 0.000 0.000
Sr 3.867 3.867 3.867
Te 1.933 1.933 1.933
Te 1.933 5.800 5.800
Te 5.800 1.933 5.800
Te 5.800 5.800 1.933
Au 1.933 1.933 5.800
Au 1.933 5.800 1.933
Au 5.800 1.933 1.933
Au 5.800 5.800 5.800
```

[2]
Density functional theory data (PBE-GGA) for Mn4Au after structural relaxation.

Values from the calculation:
Space group: Im-3m, No. 229
Energy (eV/atom): -7.0237
Energy of formation from the pure elements (meV/atom): 967
Volume (Å³ per atom): 21.26
ΔE to the lowest computed polymorph (meV/atom): 645
Crystal system: cubic

```
10
Lattice="5.969 0.000 0.000 0.000 5.969 0.000 0.000 0.000 5.969" Properties=species:S:1:pos:R:3 pbc="T T T"
Mn 1.492 1.492 1.492
Mn 1.492 1.492 4.476
Mn 1.492 4.476 1.492
Mn 1.492 4.476 4.476
Mn 4.476 1.492 1.492
Mn 4.476 1.492 4.476
Mn 4.476 4.476 1.492
Mn 4.476 4.476 4.476
Au 0.000 0.000 0.000
Au 2.984 2.984 2.984
```

[3]
Density functional theory data (PBE-GGA) for CaTh3Se4 after structural relaxation.

Values from the calculation:
Raw formation energy (eV/f.u.): -12.918
Space group: Cmmm, No. 65
Energy (eV/atom): -6.3897
Volume (Å³ per atom): 26.12
Crystal system: orthorhombic

```
16
Lattice="8.517 0.000 0.000 0.000 11.856 0.000 0.000 0.000 4.139" Properties=species:S:1:pos:R:3 pbc="T T T"
Ca 0.000 0.000 0.000
Ca 4.259 5.928 0.000
Th 0.000 5.928 0.000
Th 2.129 2.964 2.069
Th 2.129 8.892 2.069
Th 4.259 0.000 0.000
Th 6.388 2.964 2.069
Th 6.388 8.892 2.069
Se 0.000 2.902 0.000
Se 0.000 8.953 0.000
Se 2.051 0.000 2.069
Se 2.208 5.928 2.069
Se 4.259 3.026 0.000
Se 4.259 8.830 0.000
Se 6.309 5.928 2.069
Se 6.467 0.000 2.069
```

[4]
Density functional theory data (PBE-GGA) for MnAlGa2 after structural relaxation.

Values from the calculation:
Space group: Pmma, No. 51
Energy (eV/atom): -4.7576
Energy of formation from the pure elements (meV/atom): -16
Volume (Å³ per atom): 15.50
Crystal system: orthorhombic

```
8
Lattice="5.337 0.000 0.000 0.000 4.355 0.000 0.000 0.000 5.334" Properties=species:S:1:pos:R:3 pbc="T T T"
Mn 1.334 0.000 0.761
Mn 4.003 0.000 4.573
Al 0.000 2.178 0.000
Al 2.668 2.178 0.000
Ga 1.334 0.000 3.621
Ga 1.334 2.178 2.261
Ga 4.003 0.000 1.713
Ga 4.003 2.178 3.073
```

[5]
Density functional theory data (PBE-GGA) for Ba2Ga2Pd after structural relaxation.

Values from the calculation:
Space group: P4/mbm, No. 127
Energy (eV/atom): -3.3216
Energy of formation from the pure elements (meV/atom): -303
Volume (Å³ per atom): 27.94
ΔE to the lowest computed polymorph (meV/atom): 189
Crystal system: tetragonal

```
10
Lattice="7.288 0.000 0.000 0.000 7.288 0.000 0.000 0.000 5.261" Properties=species:S:1:pos:R:3 pbc="T T T"
Ba 1.320 2.324 0.000
Ba 2.324 5.968 0.000
Ba 4.965 1.320 0.000
Ba 5.968 4.965 0.000
Ga 0.949 4.593 2.630
Ga 2.696 0.949 2.630
Ga 4.593 6.340 2.630
Ga 6.340 2.696 2.630
Pd 0.000 0.000 2.630
Pd 3.644 3.644 2.630
```

[6]
Density functional theory data (PBE-GGA) for CaMgAl2Rh after structural relaxation.

Values from the calculation:
Space group: P4/mmm, No. 123
Energy (eV/atom): -4.0657
Energy of formation from the pure elements (meV/atom): -379
Volume (Å³ per atom): 22.36
Crystal system: tetragonal

```
5
Lattice="4.759 0.000 0.000 0.000 4.759 0.000 0.000 0.000 4.937" Properties=species:S:1:pos:R:3 pbc="T T T"
Ca 0.000 0.000 0.000
Mg 2.380 2.380 0.000
Al 0.000 2.380 2.468
Al 2.380 0.000 2.468
Rh 2.380 2.380 2.468
```

[7]
Density functional theory data (PBE-GGA) for Ba8As5Cl after structural relaxation.

Values from the calculation:
Raw formation energy (eV/f.u.): -17.814
Space group: I-4, No. 82
Energy (eV/atom): -4.1636
Volume (Å³ per atom): 36.57
Crystal system: tetragonal

```
14
Lattice="-5.036 5.036 5.047 5.036 -5.036 5.047 5.036 5.036 -5.047" Properties=species:S:1:pos:R:3 pbc="T T T"
Ba 1.786 -0.721 3.132
Ba 0.655 3.114 0.703
Ba 3.250 5.756 -1.915
Ba 4.315 3.250 1.915
Ba -0.655 6.957 0.703
Ba -1.921 4.380 4.344
Ba 0.721 1.786 6.963
Ba 1.921 5.691 4.344
As 0.000 0.000 0.000
As 3.733 2.561 -1.239
As 2.475 -1.302 6.286
As 1.302 2.475 3.809
As 2.561 6.338 1.239
Cl 5.036 0.000 2.524
```

[8]
Density functional theory data (PBE-GGA) for MgInHg2 after structural relaxation.

Values from the calculation:
Space group: Cmmm, No. 65
Energy (eV/atom): -1.3151
Energy of formation from the pure elements (meV/atom): -81
Volume (Å³ per atom): 23.91
Crystal system: orthorhombic

```
8
Lattice="6.627 0.000 0.000 0.000 7.435 0.000 0.000 0.000 3.881" Properties=species:S:1:pos:R:3 pbc="T T T"
Mg 0.000 0.000 0.000
Mg 3.313 3.718 0.000
In 0.000 3.718 0.000
In 3.313 0.000 0.000
Hg 1.657 1.859 1.941
Hg 1.657 5.577 1.941
Hg 4.970 1.859 1.941
Hg 4.970 5.577 1.941
```